(1)
First-principles (PBE-GGA) data for a relaxed structure of BaSr8Ca4, as listed in Alexandria.

The structure in POSCAR format:
```
BaSr8Ca4
1.0
-7.535 7.535 2.938
7.535 -7.535 2.938
7.535 7.535 -2.938
Ba Sr Ca
1 8 4
Cartesian
0.000 0.000 0.000
9.316 1.185 0.000
6.912 4.601 0.000
1.185 5.755 0.000
2.934 -0.623 2.938
4.601 8.158 0.000
6.351 1.781 2.938
0.623 2.934 2.938
-1.781 6.351 2.938
3.519 2.367 0.000
5.169 -4.016 2.938
2.367 11.551 0.000
4.016 5.169 2.938
```

Output
- electronic total energy (eV/atom) = -1.7841
- ΔH_f (0 K) (kJ per mole of atoms) = 1.42
- space group = I4/m (87)
- D(E_F) (states/eV/f.u.) = 15.04

(2)
First-principles (PBE-GGA) data for a relaxed structure of BaSr10Ca4, as listed in Alexandria.

The structure in POSCAR format:
```
BaSr10Ca4
1.0
-5.857 5.857 6.006
5.857 -5.857 6.006
5.857 5.857 -6.006
Ba Sr Ca
1 10 4
Cartesian
0.000 0.000 0.000
4.539 3.399 -2.008
2.458 -1.318 3.998
5.857 0.000 3.003
3.399 7.175 -2.008
4.539 3.399 2.008
1.318 2.458 3.998
2.458 -1.318 8.014
0.000 5.857 3.003
3.399 7.175 2.008
1.318 2.458 8.014
7.807 0.920 0.000
0.920 3.908 0.000
4.937 1.950 6.006
-1.950 4.937 6.006
```

Output
- electronic total energy (eV/atom) = -1.5443
- ΔH_f (0 K) (kJ per mole of atoms) = 23.05
- space group = I4/m (87)
- D(E_F) (states/eV/f.u.) = 21.68